Record 1
A relaxed structure of TbSm2TmTh, computed with PBE-GGA.

Its formation energy is 1.60 eV per formula unit.

Unit cell a=8.553 b=6.337 c=6.349 alpha=90.00 beta=95.48 gamma=90.00
Space group P2/c (No. 13)
Symmetry-distinct sites (fractional):
Tb (0.000, 0.000, 0.000) x2
Sm (0.313, 0.298, 0.220) x4
Tm (0.500, 0.184, 0.750) x2
Th (0.000, 0.450, 0.750) x2

=====

Record 2
A relaxed structure of Tb2SmTmTh, computed with PBE-GGA.

Its formation energy is 1.67 eV per formula unit.

Unit cell a=8.555 b=6.362 c=6.309 alpha=90.00 beta=97.64 gamma=90.00
Space group P2/c (No. 13)
Symmetry-distinct sites (fractional):
Tb (0.185, 0.191, 0.290) x4
Sm (0.500, 0.500, 0.000) x2
Tm (0.000, 0.324, 0.750) x2
Th (0.500, 0.049, 0.750) x2

=====

Record 3
A relaxed structure of Tb6SmTm2Th, computed with PBE-GGA.

Its formation energy is 1.43 eV per formula unit.

Unit cell a=9.177 b=14.903 c=9.542 alpha=90.00 beta=97.02 gamma=90.00
Space group C2/c (No. 15)
Symmetry-distinct sites (fractional):
Tb (0.064, 0.183, 0.441) x8
Tb (0.097, 0.393, 0.618) x8
Tb (0.205, 0.225, 0.816) x8
Sm (0.000, 0.028, 0.750) x4
Tm (0.247, 0.051, 0.048) x8
Th (0.000, 0.407, 0.250) x4

=====

Record 4
A relaxed structure of Tb6Sm3Tm2Th, computed with PBE-GGA.

Its formation energy is 0.25 eV per formula unit.

Unit cell a=6.180 b=10.695 c=11.845 alpha=90.00 beta=100.01 gamma=90.00
Space group C2/m (No. 12)
Symmetry-distinct sites (fractional):
Tb (0.247, 0.165, 0.247) x8
Tb (0.248, 0.000, 0.753) x4
Sm (0.000, 0.167, 0.500) x4
Sm (0.000, 0.500, 0.500) x2
Tm (0.000, 0.333, 0.000) x4
Th (0.000, 0.000, 0.000) x2

=====

Record 5
A relaxed structure of TbSm4Tm2Th, computed with PBE-GGA.

Its formation energy is 0.28 eV per formula unit.

Unit cell a=5.052 b=5.052 c=10.166 alpha=90.00 beta=90.00 gamma=90.00
Space group P4/mmm (No. 123)
Symmetry-distinct sites (fractional):
Tb (0.000, 0.000, 0.000) x1
Sm (0.000, 0.500, 0.251) x4
Tm (0.000, 0.000, 0.500) x1
Tm (0.500, 0.500, 0.000) x1
Th (0.500, 0.500, 0.500) x1

=====

Record 6
A relaxed structure of TbSm3TmTh, computed with PBE-GGA.

Its formation energy is 1.14 eV per formula unit.

Unit cell a=22.037 b=5.484 c=6.823 alpha=90.00 beta=99.59 gamma=90.00
Space group C2/m (No. 12)
Symmetry-distinct sites (fractional):
Tb (0.132, 0.000, 0.456) x4
Sm (0.026, 0.000, 0.772) x4
Sm (0.163, 0.500, 0.760) x4
Sm (0.224, 0.500, 0.303) x4
Tm (0.169, 0.000, 0.022) x4
Th (0.067, 0.500, 0.170) x4

=====

Record 7
A relaxed structure of TbSmTmTh, computed with PBE-GGA.

Its formation energy is 0.56 eV per formula unit. Its energy relative to the lowest polymorph listed for this composition is 129 meV per atom.

Unit cell a=8.024 b=8.024 c=8.024 alpha=90.00 beta=90.00 gamma=90.00
Space group F-43m (No. 216)
Symmetry-distinct sites (fractional):
Tb (0.000, 0.000, 0.000) x4
Sm (0.250, 0.250, 0.250) x4
Tm (0.000, 0.000, 0.500) x4
Th (0.250, 0.250, 0.750) x4

=====

Record 8
A relaxed structure of Tb6SmTm3Th2, computed with PBE-GGA.

Its formation energy is 0.41 eV per formula unit.

Unit cell a=6.166 b=10.666 c=11.767 alpha=90.00 beta=100.06 gamma=90.00
Space group C2/m (No. 12)
Symmetry-distinct sites (fractional):
Tb (0.247, 0.000, 0.250) x4
Tb (0.247, 0.169, 0.750) x8
Sm (0.000, 0.500, 0.000) x2
Tm (0.000, 0.000, 0.500) x2
Tm (0.000, 0.334, 0.500) x4
Th (0.000, 0.167, 0.000) x4

=====

Record 9
A relaxed structure of Tb2Sm6TmTh, computed with PBE-GGA.

Its formation energy is 1.48 eV per formula unit.

Unit cell a=9.285 b=14.994 c=9.641 alpha=90.00 beta=97.32 gamma=90.00
Space group C2/c (No. 15)
Symmetry-distinct sites (fractional):
Tb (0.249, 0.047, 0.050) x8
Sm (0.063, 0.178, 0.442) x8
Sm (0.095, 0.391, 0.618) x8
Sm (0.208, 0.219, 0.813) x8
Tm (0.000, 0.409, 0.250) x4
Th (0.000, 0.028, 0.750) x4

=====

Record 10
A relaxed structure of TbSm6Tm3Th2, computed with PBE-GGA.

Its formation energy is 0.47 eV per formula unit.

Unit cell a=6.206 b=10.735 c=11.884 alpha=90.00 beta=100.02 gamma=90.00
Space group C2/m (No. 12)
Symmetry-distinct sites (fractional):
Tb (0.000, 0.000, 0.000) x2
Sm (0.247, 0.500, 0.250) x4
Sm (0.248, 0.332, 0.750) x8
Tm (0.000, 0.167, 0.500) x4
Tm (0.000, 0.500, 0.500) x2
Th (0.000, 0.333, 0.000) x4

=====

Record 11
A relaxed structure of Tb2SmTm2Th2, computed with PBE-GGA.

Its formation energy is 0.96 eV per formula unit.

Unit cell a=12.419 b=5.917 c=6.198 alpha=90.00 beta=100.76 gamma=90.00
Space group C2/m (No. 12)
Symmetry-distinct sites (fractional):
Tb (0.076, 0.000, 0.311) x4
Sm (0.000, 0.500, 0.000) x2
Tm (0.146, 0.500, 0.577) x4
Th (0.212, 0.000, 0.875) x4

=====

Record 12
A relaxed structure of Tb2Sm2Tm2Th, computed with PBE-GGA.

Its formation energy is 1.16 eV per formula unit.

Unit cell a=11.522 b=3.447 c=11.801 alpha=90.00 beta=100.65 gamma=90.00
Space group C2/m (No. 12)
Symmetry-distinct sites (fractional):
Tb (0.142, 0.000, 0.056) x4
Sm (0.199, 0.000, 0.360) x4
Tm (0.055, 0.500, 0.798) x4
Th (0.000, 0.500, 0.500) x2

=====

Repeat the fourth record exactly.
A relaxed structure of Tb6Sm3Tm2Th, computed with PBE-GGA.

Its formation energy is 0.25 eV per formula unit.

Unit cell a=6.180 b=10.695 c=11.845 alpha=90.00 beta=100.01 gamma=90.00
Space group C2/m (No. 12)
Symmetry-distinct sites (fractional):
Tb (0.247, 0.165, 0.247) x8
Tb (0.248, 0.000, 0.753) x4
Sm (0.000, 0.167, 0.500) x4
Sm (0.000, 0.500, 0.500) x2
Tm (0.000, 0.333, 0.000) x4
Th (0.000, 0.000, 0.000) x2